MgMnBe: relaxed, PBE.

Cell lengths 4.146, 4.146, 2.740 Å; angles 90.00, 90.00, 120.00 degrees
Each line ends with the local moment (μB).
Fractional coordinates of all 3 atoms:
Be 0.000 0.000 0.014  -0.11
Mg 0.667 0.333 0.277  -0.03
Mn 0.333 0.667 0.709  2.96

Its total energy is -4.482 eV/atom. The symmetry is No. 156.